# Na2Tl3Pb8 (GGA-PBE, optimized geometry)
data_Na2Tl3Pb8
_cell_length_a 8.092
_cell_length_b 11.448
_cell_length_c 9.360
_cell_angle_alpha 90.00
_cell_angle_beta 107.40
_cell_angle_gamma 90.00
_symmetry_space_group_name_H-M 'C 1 2/m 1'
_symmetry_Int_Tables_number 12
loop_
_symmetry_equiv_pos_as_xyz
'x,y,z'
'-x,-y,-z'
'-x,y,-z'
'x,-y,z'
'x+1/2,y+1/2,z'
'-x+1/2,-y+1/2,-z'
'-x+1/2,y+1/2,-z'
'x+1/2,-y+1/2,z'
loop_
_atom_site_label
_atom_site_fract_x
_atom_site_fract_y
_atom_site_fract_z
_atom_site_occupancy
Na1 0.079 0.000 0.368 1
Tl1 0.000 0.249 0.000 1
Tl2 0.000 0.500 0.500 1
Pb1 0.158 0.500 0.199 1
Pb2 0.178 0.249 0.650 1
Pb3 0.244 0.000 0.106 1
# Energy (eV per atom): -3.015
# Size of the total moment (μB per formula unit): 0.0